A plane-wave DFT calculation with PBE-GGA was carried out for an optimized crystal structure of CrIr3Cl.

Values from the calculation:
ΔE to the lowest computed polymorph = 19.1 kJ/mol of atoms
formation energy (no corrections) = 1.854 eV/atom
space-group type = Pm-3m
V = 84 Å³/f.u.

Unit cell a=4.3847 b=4.3847 c=4.3847 alpha=90.00 beta=90.00 gamma=90.00
Last column: nearest neighbours and their distance in Å.
Sites, in units of the cell vectors:
Ir (0.0000, 0.0000, 0.5000)  2 Cl 2.19
Cl (0.0000, 0.0000, 0.0000)  6 Ir 2.19
Ir (0.0000, 0.5000, 0.0000)  2 Cl 2.19
Ir (0.5000, 0.0000, 0.0000)  2 Cl 2.19
Cr (0.5000, 0.5000, 0.5000)  12 Ir 3.10


A plane-wave DFT calculation with PBE-GGA was carried out for an optimized crystal structure of VBH.

Values from the calculation:
ΔE to the lowest computed polymorph = 46.0 kJ/mol of atoms
space-group type = I4mm
V = 24 Å³/f.u.

Unit cell a=2.9926 b=2.9926 c=3.3889 alpha=116.20 beta=116.20 gamma=90.00
Last column: nearest neighbours and their distance in Å.
Sites, in units of the cell vectors:
V (0.6033, 0.6033, 0.2066)  1 H 1.91, 1 B 2.12
H (0.2422, 0.2422, 0.4844)  1 B 1.26
B (0.0045, 0.0045, 0.0091)  1 H 1.26


A plane-wave DFT calculation with PBE-GGA was carried out for an optimized crystal structure of RbNiAgBr6.

Values from the calculation:
formation energy (no corrections) = -0.530 eV/atom
space-group type = P1
V = 316 Å³/f.u.

Unit cell a=6.9798 b=6.9600 c=7.5297 alpha=89.96 beta=89.80 gamma=59.82
Last column: nearest neighbours and their distance in Å.
Sites, in units of the cell vectors:
Br (0.0395, 0.6026, 0.6930)  1 Ni 2.44
Br (0.6023, 0.0386, 0.3074)  1 Ni 2.44
Br (0.6023, 0.3585, 0.6914)  1 Ni 2.45
Ni (0.3333, 0.3336, 0.5000)  6 Br 2.44-2.45
Br (0.3577, 0.6024, 0.3072)  1 Ni 2.44
Br (0.3594, 0.0385, 0.6921)  1 Ni 2.44
Ag (0.6667, 0.6662, 0.5000)  6 Br 2.79-2.82
Br (0.0388, 0.3589, 0.3088)  1 Ni 2.45
Rb (0.9998, 0.0008, 0.0000)  6 Br 3.51-3.52


A plane-wave DFT calculation with PBE-GGA was carried out for an optimized crystal structure of AlPt2Pb.

Values from the calculation:
calculated formation energy = -431 meV/atom
space-group type = Imm2
V = 79 Å³/f.u.

Unit cell a=7.1992 b=7.1992 c=7.1992 alpha=150.50 beta=154.64 gamma=39.29
Last column: nearest neighbours and their distance in Å.
Sites, in units of the cell vectors:
Al (0.5454, 0.5454, 0.0000)  6 Pt 2.51-2.56
Pt (0.6717, 0.1717, 0.5000)  2 Al 2.51
Pb (0.2988, 0.7988, 0.5000)  6 Pt 2.97, 2 Pb 3.16
Pt (0.9841, 0.9841, 0.0000)  4 Al 2.56


A plane-wave DFT calculation with PBE-GGA was carried out for an optimized crystal structure of ZnPd12Au6.

Values from the calculation:
calculated formation energy = -6 meV/atom
space-group type = R-3
V = 316 Å³/f.u.

Unit cell a=6.8100 b=6.8100 c=6.8100 alpha=91.15 beta=91.15 gamma=91.15
Last column: nearest neighbours and their distance in Å.
Sites, in units of the cell vectors:
Au (0.2627, 0.7272, 0.8818)  9 Pd 2.70-2.93, 1 Zn 2.73, 2 Au 2.86
Pd (0.4710, 0.5494, 0.2032)  4 Pd 2.70-2.87, 4 Au 2.70-2.88
Au (0.2728, 0.1182, 0.7373)  9 Pd 2.70-2.93, 1 Zn 2.73, 2 Au 2.86
Pd (0.0456, 0.1469, 0.3695)  4 Pd 2.70-2.79, 1 Zn 2.70, 5 Au 2.80-2.93
Pd (0.6305, 0.9544, 0.8531)  4 Pd 2.70-2.79, 1 Zn 2.70, 5 Au 2.80-2.93
Pd (0.2032, 0.4710, 0.5494)  4 Pd 2.70-2.87, 4 Au 2.70-2.88
Pd (0.5290, 0.4506, 0.7968)  4 Pd 2.70-2.87, 4 Au 2.70-2.88
Pd (0.3695, 0.0456, 0.1469)  4 Pd 2.70-2.79, 1 Zn 2.70, 5 Au 2.80-2.93
Zn (0.0000, 0.0000, 0.0000)  6 Pd 2.70, 6 Au 2.73
Au (0.1182, 0.7373, 0.2728)  9 Pd 2.70-2.93, 1 Zn 2.73, 2 Au 2.86
Pd (0.1469, 0.3695, 0.0456)  4 Pd 2.70-2.79, 1 Zn 2.70, 5 Au 2.80-2.93
Pd (0.9544, 0.8531, 0.6305)  4 Pd 2.70-2.79, 1 Zn 2.70, 5 Au 2.80-2.93
Au (0.8818, 0.2627, 0.7272)  9 Pd 2.70-2.93, 1 Zn 2.73, 2 Au 2.86
Pd (0.7968, 0.5290, 0.4506)  4 Pd 2.70-2.87, 4 Au 2.70-2.88
Au (0.7373, 0.2728, 0.1182)  9 Pd 2.70-2.93, 1 Zn 2.73, 2 Au 2.86
Pd (0.5494, 0.2032, 0.4710)  4 Pd 2.70-2.87, 4 Au 2.70-2.88
Pd (0.4506, 0.7968, 0.5290)  4 Pd 2.70-2.87, 4 Au 2.70-2.88
Au (0.7272, 0.8818, 0.2627)  9 Pd 2.70-2.93, 1 Zn 2.73, 2 Au 2.86
Pd (0.8531, 0.6305, 0.9544)  4 Pd 2.70-2.79, 1 Zn 2.70, 5 Au 2.80-2.93


A plane-wave DFT calculation with PBE-GGA was carried out for an optimized crystal structure of La2AgCN.

Values from the calculation:
formation energy (no corrections) = 0.176 eV/atom
space-group type = P4/mmm
V = 102 Å³/f.u.

Unit cell a=4.9727 b=4.1441 c=4.9727 alpha=90.00 beta=90.00 gamma=90.00
Last column: nearest neighbours and their distance in Å.
Sites, in units of the cell vectors:
C (0.5000, 0.5000, 0.5000)  8 La 3.24, 4 Ag 3.52
Ag (0.0000, 0.5000, 0.0000)  2 N 2.07
La (0.0000, 0.0000, 0.5000)  2 N 2.49
N (0.0000, 0.0000, 0.0000)  2 Ag 2.07
La (0.5000, 0.0000, 0.0000)  2 N 2.49


A plane-wave DFT calculation with PBE-GGA was carried out for an optimized crystal structure of Cu2CBr.

Values from the calculation:
ΔE to the lowest computed polymorph = 88.5 kJ/mol of atoms
formation energy (no corrections) = 1.648 eV/atom
space-group type = Fm-3m
V = 55 Å³/f.u.

Unit cell a=4.2703 b=4.2703 c=4.2703 alpha=60.00 beta=60.00 gamma=60.00
Last column: nearest neighbours and their distance in Å.
Sites, in units of the cell vectors:
Cu (0.7500, 0.7500, 0.7500)  4 Br 2.62, 4 C 2.62
Br (0.5000, 0.5000, 0.5000)  8 Cu 2.62
C (0.0000, 0.0000, 0.0000)  8 Cu 2.62
Cu (0.2500, 0.2500, 0.2500)  4 Br 2.62, 4 C 2.62


A plane-wave DFT calculation with PBE-GGA was carried out for an optimized crystal structure of LiAc2Ge4Pt3.

Values from the calculation:
calculated formation energy = -885 meV/atom
space-group type = P-4m2
V = 207 Å³/f.u.

Unit cell a=4.4797 b=4.4797 c=10.3054 alpha=90.00 beta=90.00 gamma=90.00
Last column: nearest neighbours and their distance in Å.
Sites, in units of the cell vectors:
Ge (0.5000, 0.5000, 0.0000)  4 Pt 2.57
Li (0.5000, 0.5000, 0.5000)  4 Ge 2.61
Ge (0.0000, 0.5000, 0.3703)  3 Pt 2.55-2.61, 2 Li 2.61
Pt (0.0000, 0.0000, 0.5000)  4 Ge 2.61
Pt (0.0000, 0.5000, 0.1224)  5 Ge 2.55-2.57
Ge (0.0000, 0.0000, 0.0000)  4 Pt 2.57
Pt (0.5000, 0.0000, 0.8776)  5 Ge 2.55-2.57
Ac (0.0000, 0.5000, 0.7481)  8 Ge 3.39-3.43, 2 Li 3.40, 6 Pt 3.40-3.44
Ge (0.5000, 0.0000, 0.6297)  3 Pt 2.55-2.61, 2 Li 2.61
Ac (0.5000, 0.0000, 0.2519)  8 Ge 3.39-3.43, 2 Li 3.40, 6 Pt 3.40-3.44


A plane-wave DFT calculation with PBE-GGA was carried out for an optimized crystal structure of Ga2CoIrRu.

Values from the calculation:
ΔE to the lowest computed polymorph = 0.0 kJ/mol of atoms
calculated formation energy = 816 meV/atom
space-group type = P4/mmm
V = 84 Å³/f.u.

Unit cell a=4.3529 b=4.4183 c=4.3529 alpha=90.00 beta=90.00 gamma=90.00
Last column: nearest neighbours and their distance in Å.
Sites, in units of the cell vectors:
Co (0.0000, 0.0000, 0.0000)  4 Ga 2.18, 2 Ir 2.21
Ru (0.5000, 0.5000, 0.5000)  4 Ir 3.08, 8 Ga 3.10
Ga (0.5000, 0.0000, 0.0000)  2 Co 2.18
Ga (0.0000, 0.0000, 0.5000)  2 Co 2.18
Ir (0.0000, 0.5000, 0.0000)  2 Co 2.21


A plane-wave DFT calculation with PBE-GGA was carried out for an optimized crystal structure of CsNa2ZnAg.

Values from the calculation:
ΔE to the lowest computed polymorph = 3.8 kJ/mol of atoms
calculated formation energy = 113 meV/atom
space-group type = P4/mmm
V = 179 Å³/f.u.

Unit cell a=5.8055 b=5.8055 c=5.2987 alpha=90.00 beta=90.00 gamma=90.00
Last column: nearest neighbours and their distance in Å.
Sites, in units of the cell vectors:
Ag (0.0000, 0.0000, 0.5000)  2 Zn 2.65
Zn (0.0000, 0.0000, 0.0000)  2 Ag 2.65, 4 Na 2.90
Na (0.5000, 0.0000, 0.0000)  2 Zn 2.90
Na (0.0000, 0.5000, 0.0000)  2 Zn 2.90
Cs (0.5000, 0.5000, 0.5000)  8 Na 3.93, 4 Ag 4.11


A plane-wave DFT calculation with PBE-GGA was carried out for an optimized crystal structure of KTaHg2.

Values from the calculation:
ΔE to the lowest computed polymorph = 13.1 kJ/mol of atoms
calculated formation energy = 515 meV/atom
space-group type = Cm
V = 95 Å³/f.u.

Unit cell a=6.0253 b=6.0253 c=5.5605 alpha=89.90 beta=89.90 gamma=28.01
Last column: nearest neighbours and their distance in Å.
Sites, in units of the cell vectors:
Hg (0.9868, 0.9868, 0.1255)  2 Hg 2.92, 3 Ta 3.07-3.13, 4 K 3.15
Ta (0.2497, 0.2497, 0.1245)  2 Ta 2.92, 7 Hg 3.07-3.14
Hg (0.7587, 0.7587, 0.6245)  2 Hg 2.92, 3 K 2.97-3.23, 4 Ta 3.14
K (0.5049, 0.5049, 0.6255)  2 K 2.92, 7 Hg 2.97-3.23


A plane-wave DFT calculation with PBE-GGA was carried out for an optimized crystal structure of ScTaF2.

Values from the calculation:
ΔE to the lowest computed polymorph = 103.4 kJ/mol of atoms
formation energy (no corrections) = -0.657 eV/atom
space-group type = Fm-3m
V = 57 Å³/f.u.

Unit cell a=4.3281 b=4.3281 c=4.3281 alpha=60.00 beta=60.00 gamma=60.00
Last column: nearest neighbours and their distance in Å.
Sites, in units of the cell vectors:
F (0.2500, 0.2500, 0.2500)  4 Ta 2.65, 4 Sc 2.65
Sc (0.0000, 0.0000, 0.0000)  8 F 2.65
Ta (0.5000, 0.5000, 0.5000)  8 F 2.65
F (0.7500, 0.7500, 0.7500)  4 Ta 2.65, 4 Sc 2.65


How do the records compare in E_tot? In the order shown, they have -28.78 -18.40 -24.41 -21.26 -83.37 -29.38 -12.50 -55.58 -27.22 -7.05 -11.49 -24.56 eV for the cell shown.